w) VASP calculation (PBE+U) on a relaxed MnI2BrO crystal.

Unit cell a=6.058 b=6.058 c=4.010 alpha=90.00 beta=90.00 gamma=90.00
Fractional coordinates of all 5 atoms:
Mn 0.000 0.000 0.000
I 0.000 0.500 0.500
I 0.500 0.000 0.500
Br 0.500 0.500 0.500
O 0.500 0.500 0.000

- Total moment: 5.45 μB/f.u.
- Crystal system: tetragonal
- ρ: 4.566 g/cm³



x) VASP calculation (PBE+U) on a relaxed MnI2BrO crystal.

Unit cell a=5.797 b=5.797 c=3.611 alpha=90.00 beta=90.00 gamma=90.00
Fractional coordinates of all 5 atoms:
Mn 0.000 0.000 0.000
I 0.000 0.500 0.000
I 0.500 0.000 0.000
Br 0.500 0.500 0.500
O 0.000 0.000 0.500

- Total moment: 0.58 μB/f.u.
- Crystal system: tetragonal
- ρ: 5.538 g/cm³



Stability summary - winner: x); margin: 18.9 kJ/mol of atoms.